[1]
BeCr2NiPb: PBEsol geometry, SCAN.

DFT formation energy = 1.57 eV/atom
symmetry = P4/mmm

a b c (Å): 5.070 5.070 4.657
angles (deg): 90.00 90.00 90.00
Fractional coordinates of all 5 atoms:
Be  0.000  0.000  0.000
Cr  0.000  0.500  0.500
Cr  0.500  0.000  0.500
Ni  0.500  0.500  0.000
Pb  0.500  0.500  0.500


[2]
BeCrNi2Rh: PBEsol geometry, SCAN.

DFT formation energy = 0.17 eV/atom
symmetry = P4/mmm

a b c (Å): 3.837 3.837 4.010
angles (deg): 90.00 90.00 90.00
Fractional coordinates of all 5 atoms:
Be  0.000  0.000  0.000
Cr  0.500  0.500  0.500
Ni  0.000  0.500  0.000
Ni  0.500  0.000  0.000
Rh  0.000  0.000  0.500


[3]
BeCr2O4: PBEsol geometry, SCAN.

symmetry = Pnma
ΔE_f (raw) = -2.714 eV per atom

a b c (Å): 9.779 5.676 4.521
angles (deg): 90.00 90.00 90.00
Fractional coordinates of all 28 atoms:
Be  0.094  0.250  0.069
Be  0.406  0.750  0.569
Be  0.594  0.250  0.431
Be  0.906  0.750  0.931
Cr  0.000  0.000  0.500
Cr  0.000  0.500  0.500
Cr  0.230  0.750  0.003
Cr  0.270  0.250  0.503
Cr  0.500  0.000  0.000
Cr  0.500  0.500  0.000
Cr  0.730  0.750  0.497
Cr  0.770  0.250  0.997
O  0.060  0.750  0.771
O  0.093  0.250  0.720
O  0.164  0.022  0.240
O  0.164  0.478  0.240
O  0.336  0.522  0.740
O  0.336  0.978  0.740
O  0.407  0.750  0.220
O  0.440  0.250  0.271
O  0.560  0.750  0.729
O  0.593  0.250  0.780
O  0.664  0.022  0.260
O  0.664  0.478  0.260
O  0.836  0.522  0.760
O  0.836  0.978  0.760
O  0.907  0.750  0.280
O  0.940  0.250  0.229


[4]
BeCrP2O: PBEsol geometry, SCAN.

symmetry = P4/mmm
offset from the most stable computed form = 247 meV per atom
ΔE_f (raw) = 0.069 eV per atom

a b c (Å): 4.536 4.536 3.414
angles (deg): 90.00 90.00 90.00
Fractional coordinates of all 5 atoms:
Be  0.000  0.000  0.000
Cr  0.500  0.500  0.500
P  0.000  0.500  0.500
P  0.500  0.000  0.500
O  0.500  0.500  0.000


Number 1: total energy -125.2 eV/cell. Number 2: total energy -88.0 eV/cell. Number 3: total energy -340.2 eV/cell. Number 4: total energy -49.4 eV/cell.